BaZn2PtBr (PBE, relaxed); total magnetization = 0.0000 μB/atom; raw formation energy = -4.03 eV/f.u.; space group = No. 123; DFT total energy = -3.242 eV per atom
1.0
4.908 0.000 0.000
0.000 4.908 0.000
0.000 0.000 6.198
Ba Zn Pt Br
1 2 1 1
direct
0.000 0.000 0.000
0.000 0.500 0.500
0.500 0.000 0.500
0.000 0.000 0.500
0.500 0.500 0.000